Record 1
This record from the Alexandria database describes Cd2SO after structural relaxation. The functional is PBEsol.

Values from the calculation:
The value obtained for the total energy is -3.774 eV/atom. For the raw formation energy, the calculation gives -767.2 meV per atom.

abc: 5.460 5.460 10.767
angles: 90.00 90.00 90.00
Space group I-42d (No. 122)
One atom of each set of equivalent atoms:
Cd1 0.200 0.250 0.125
S1 0.000 0.000 0.500
O1 0.000 0.000 0.000


Record 2
This record from the Alexandria database describes CdSb2O after structural relaxation. The functional is PBEsol.

Values from the calculation:
The value obtained for the total energy is -4.052 eV/atom. For the raw formation energy, the calculation gives -161.5 meV per atom.

abc: 5.332 5.332 13.822
angles: 90.00 90.00 90.00
Space group I-42d (No. 122)
One atom of each set of equivalent atoms:
Cd1 0.000 0.000 0.000
Sb1 0.129 0.250 0.625
O1 0.000 0.000 0.500


Record 3
This record from the Alexandria database describes Cd2Sb2O after structural relaxation. The functional is PBEsol.

Values from the calculation:
The value obtained for the total energy is -2.879 eV/atom. For the raw formation energy, the calculation gives 473.1 meV per atom.

abc: 4.020 4.020 15.209
angles: 90.00 90.00 90.00
Space group I4/mmm (No. 139)
One atom of each set of equivalent atoms:
Cd1 0.000 0.000 0.086
Sb1 0.000 0.500 0.250
O1 0.000 0.000 0.500


Record 4
This record from the Alexandria database describes YCd2SbO after structural relaxation. The functional is PBEsol.

Values from the calculation:
The value obtained for the total energy is -4.659 eV/atom. For the raw formation energy, the calculation gives -854.1 meV per atom.

abc: 4.881 4.881 4.410
angles: 90.00 90.00 90.00
Space group P4/mmm (No. 123)
One atom of each set of equivalent atoms:
Y1 0.000 0.000 0.000
Cd1 0.000 0.500 0.500
Sb1 0.500 0.500 0.000
O1 0.000 0.000 0.500


Record 5
This record from the Alexandria database describes Sc3CdO after structural relaxation. The functional is PBEsol.

Values from the calculation:
The value obtained for the total energy is -6.737 eV/atom. For the raw formation energy, the calculation gives -1484.7 meV per atom.

abc: 4.390 4.390 4.390
angles: 90.00 90.00 90.00
Space group Pm-3m (No. 221)
One atom of each set of equivalent atoms:
Sc1 0.000 0.000 0.500
Cd1 0.500 0.500 0.500
O1 0.000 0.000 0.000


Record 6
This record from the Alexandria database describes CdSeO3 after structural relaxation. The functional is PBEsol.

Values from the calculation:
The value obtained for the total energy is -5.151 eV/atom. For the raw formation energy, the calculation gives -991.7 meV per atom.

abc: 6.277 8.084 5.326
angles: 90.00 90.00 90.00
Space group Pnma (No. 62)
One atom of each set of equivalent atoms:
Cd1 0.000 0.000 0.000
Se1 0.025 0.250 0.484
O1 0.094 0.250 0.798
O2 0.174 0.086 0.366


Record 7
This record from the Alexandria database describes CdSeO3 after structural relaxation. The functional is PBEsol.

Values from the calculation:
The value obtained for the total energy is -5.146 eV/atom. For the raw formation energy, the calculation gives -987.2 meV per atom.

abc: 4.486 9.363 7.127
angles: 90.00 90.42 90.00
Space group P2_1/c (No. 14)
One atom of each set of equivalent atoms:
Cd1 0.215 0.201 0.464
Se1 0.254 0.563 0.313
O1 0.122 0.102 0.164
O2 0.249 0.115 0.753
O3 0.296 0.640 0.094


Record 8
This record from the Alexandria database describes Cd3Se3O10 after structural relaxation. The functional is PBEsol.

Values from the calculation:
The value obtained for the total energy is -5.168 eV/atom. For the raw formation energy, the calculation gives -940.6 meV per atom.

abc: 8.381 5.370 10.735
angles: 90.00 108.61 90.00
Space group P2_1 (No. 4)
One atom of each set of equivalent atoms:
Cd1 0.006 0.000 0.376
Cd2 0.032 0.987 0.886
Cd3 0.364 0.024 0.698
Se1 0.253 0.525 0.454
Se2 0.274 0.463 0.933
Se3 0.349 0.008 0.219
O1 0.088 0.619 0.320
O2 0.120 0.351 0.995
O3 0.156 0.669 0.813
O4 0.160 0.291 0.522
O5 0.219 0.159 0.283
O6 0.219 0.762 0.552
O7 0.250 0.837 0.090
O8 0.262 0.202 0.837
O9 0.466 0.816 0.339
O10 0.476 0.212 0.179


Record 9
This record from the Alexandria database describes CdSiO2 after structural relaxation. The functional is PBEsol.

Values from the calculation:
The value obtained for the total energy is -4.668 eV/atom. For the raw formation energy, the calculation gives -307.1 meV per atom. For the polymorph energy (0 for the lowest one), the calculation gives 1.506 eV/atom.

abc: 5.708 5.708 5.708
angles: 90.00 90.00 90.00
Space group Fm-3m (No. 225)
One atom of each set of equivalent atoms:
Cd1 0.000 0.000 0.000
Si1 0.000 0.000 0.500
O1 0.250 0.250 0.250


Record 10
This record from the Alexandria database describes CdSiO2 after structural relaxation. The functional is PBEsol.

Values from the calculation:
The value obtained for the total energy is -6.087 eV/atom. For the raw formation energy, the calculation gives -1726.6 meV per atom. For the polymorph energy (0 for the lowest one), the calculation gives 0.087 eV/atom.

abc: 7.590 7.590 7.590
angles: 90.00 90.00 90.00
Space group Fd-3m (No. 227, origin choice 2)
One atom of each set of equivalent atoms:
Cd1 0.125 0.125 0.125
Si1 0.125 0.125 0.625
O1 0.000 0.000 0.500


Record 11
This record from the Alexandria database describes CdSiO2 after structural relaxation. The functional is PBEsol.

Values from the calculation:
The value obtained for the total energy is -6.174 eV/atom. For the raw formation energy, the calculation gives -1813.6 meV per atom. For the polymorph energy (0 for the lowest one), the calculation gives 0.000 eV/atom.

abc: 2.7276 2.7276 28.2666
angles: 90.00 90.00 120.00
Space group R-3m (No. 166, hexagonal axes)
One atom of each set of equivalent atoms:
Cd1 0.0000 0.0000 0.0000
Si1 0.0000 0.0000 0.5000
O1 0.0000 0.0000 0.1349


Record 12
This record from the Alexandria database describes CdSnO3 after structural relaxation. The functional is PBEsol.

Values from the calculation:
The value obtained for the total energy is -5.677 eV/atom. For the raw formation energy, the calculation gives -1436.1 meV per atom.

abc: 5.608 7.929 5.483
angles: 90.00 90.00 90.00
Space group Pnma (No. 62)
One atom of each set of equivalent atoms:
Cd1 0.047 0.250 0.012
Sn1 0.000 0.000 0.500
O1 0.053 0.750 0.385
O2 0.198 0.562 0.806